[1]
PBE FeAgPd, relaxed; formation energy from the elements = 0.10 eV per atom; Fermi-level density of states = 0.9682 states/eV/atom; calculated density = 9.8 g/cm³; energy above the most stable polymorph in this dataset = 0.00 eV per formula unit; raw total energy = -16.2 eV/cell; size of the total moment = 3.28 μB per formula unit
1.0
-1.404 1.404 5.795
1.404 -1.404 5.795
1.404 1.404 -5.795
Fe Ag Pd
1 1 1
Direct
0.000 0.000 0.000 Fe
0.669 0.669 0.000 Ag
0.352 0.352 0.000 Pd


[2]
PBE FeAgPd, relaxed; formation energy from the elements = 0.12 eV per atom; Fermi-level density of states = 0.7616 states/eV/atom; calculated density = 9.8 g/cm³; energy above the most stable polymorph in this dataset = 0.05 eV per formula unit; raw total energy = -16.2 eV/cell; size of the total moment = 3.12 μB per formula unit
1.0
2.791 0.000 0.000
-1.396 2.417 0.000
0.000 0.000 6.777
Fe Ag Pd
1 1 1
Direct
0.000 0.000 0.000 Fe
0.333 0.667 0.662 Ag
0.667 0.333 0.304 Pd


[3]
PBE FeAgPd2, relaxed; formation energy from the elements = -0.06 eV per atom; Fermi-level density of states = 0.8706 states/eV/atom; calculated density = 10.2 g/cm³; energy above the most stable polymorph in this dataset = 0.00 eV per formula unit; raw total energy = -21.9 eV/cell; size of the total moment = 3.63 μB per formula unit
1.0
2.850 0.000 0.000
0.000 2.850 0.000
0.000 0.000 7.533
Fe Ag Pd
1 1 2
Direct
0.000 0.000 0.000 Fe
0.000 0.000 0.500 Ag
0.500 0.500 0.225 Pd
0.500 0.500 0.775 Pd


[4]
PBE FeAg3Pd, relaxed; formation energy from the elements = 1.06 eV per atom; Fermi-level density of states = 1.1349 states/eV/atom; calculated density = 7.5 g/cm³; energy above the most stable polymorph in this dataset = 0.00 eV per formula unit; raw total energy = -16.9 eV/cell; size of the total moment = 3.08 μB per formula unit
1.0
4.758 0.000 0.000
0.000 4.758 0.000
0.000 0.000 4.758
Fe Ag Pd
1 3 1
Direct
0.000 0.000 0.000 Fe
0.000 0.000 0.500 Ag
0.000 0.500 0.000 Ag
0.500 0.000 0.000 Ag
0.500 0.500 0.500 Pd


[5]
PBE FeAgPd2, relaxed; formation energy from the elements = 0.04 eV per atom; Fermi-level density of states = 0.8712 states/eV/atom; calculated density = 10.1 g/cm³; energy above the most stable polymorph in this dataset = 0.42 eV per formula unit; raw total energy = -21.5 eV/cell; size of the total moment = 3.77 μB per formula unit
1.0
0.000 3.136 3.136
3.136 0.000 3.136
3.136 3.136 0.000
Fe Ag Pd
1 1 2
Direct
0.000 0.000 0.000 Fe
0.500 0.500 0.500 Ag
0.250 0.250 0.250 Pd
0.750 0.750 0.750 Pd


[6]
PBE Fe2AgPd, relaxed; formation energy from the elements = 0.57 eV per atom; Fermi-level density of states = 0.8750 states/eV/atom; calculated density = 8.4 g/cm³; energy above the most stable polymorph in this dataset = 0.00 eV per formula unit; raw total energy = -45.4 eV/cell; size of the total moment = 6.64 μB per formula unit
1.0
-3.497 3.497 2.628
3.497 -3.497 2.628
3.497 3.497 -2.628
Fe Ag Pd
4 2 2
Direct
0.108 0.125 0.483 Fe
0.375 0.892 0.017 Fe
0.642 0.625 0.517 Fe
0.875 0.358 0.983 Fe
0.250 0.750 0.500 Ag
0.500 0.500 0.000 Ag
0.000 0.000 0.000 Pd
0.750 0.250 0.500 Pd